Record 1
A relaxed TmTa3O9 crystal. Source: Alexandria, functional PBE.

Output
For the total energy, the calculation gives -248.3 eV per cell. As for the symmetry: P2_1/m. The formation energy (no corrections) comes out at -3.040 eV/atom. The density of states at the Fermi level is 0.00 states/eV/cell. The value obtained for the volume is 325.9 Å³/cell.

Unit cell a=5.2503 b=7.4820 c=8.3042 alpha=90.00 beta=92.49 gamma=90.00
With the nearest neighbours (Å) after each atom.
Fractional coordinates of all 26 atoms:
Tm (0.0337, 0.2500, 0.4346)  8 O 2.28-2.51
Tm (0.9663, 0.7500, 0.5654)  8 O 2.28-2.51
Ta (0.0000, 0.0000, 0.0000)  6 O 1.96-2.05
Ta (0.0000, 0.5000, 0.0000)  6 O 1.96-2.05
Ta (0.4710, 0.0074, 0.6958)  5 O 1.86-2.04
Ta (0.4710, 0.4926, 0.6958)  5 O 1.86-2.04
Ta (0.5290, 0.5074, 0.3042)  5 O 1.86-2.04
Ta (0.5290, 0.9926, 0.3042)  5 O 1.86-2.04
O (0.1005, 0.2500, 0.9772)  2 Ta 1.96
O (0.1458, 0.5670, 0.7833)  2 Ta 1.96-2.05
O (0.1458, 0.9330, 0.7833)  2 Ta 1.96-2.05
O (0.2551, 0.5455, 0.4673)  2 Ta 2.04-2.20
O (0.2551, 0.9545, 0.4673)  2 Ta 2.04-2.20
O (0.3278, 0.5559, 0.1201)  2 Ta 1.86-2.00
O (0.3278, 0.9441, 0.1201)  2 Ta 1.86-2.00
O (0.3288, 0.2500, 0.6513)  2 Ta 1.99
O (0.4166, 0.2500, 0.3147)  2 Ta 2.02
O (0.5834, 0.7500, 0.6853)  2 Ta 2.02
O (0.6712, 0.7500, 0.3487)  2 Ta 1.99
O (0.6722, 0.0559, 0.8799)  2 Ta 1.86-2.00
O (0.6722, 0.4441, 0.8799)  2 Ta 1.86-2.00
O (0.7449, 0.0455, 0.5327)  2 Ta 2.04-2.20
O (0.7449, 0.4545, 0.5327)  2 Ta 2.04-2.20
O (0.8542, 0.0670, 0.2167)  2 Ta 1.96-2.05
O (0.8542, 0.4330, 0.2167)  2 Ta 1.96-2.05
O (0.8995, 0.7500, 0.0228)  2 Ta 1.96

Record 2
A relaxed Tm5Ta2O12 crystal. Source: Alexandria, functional PBE.

Output
For the total energy, the calculation gives -169.8 eV per cell. As for the symmetry: C2/m. The formation energy (no corrections) comes out at -3.381 eV/atom. The density of states at the Fermi level is 2.52 states/eV/cell. The value obtained for the volume is 249.9 Å³/cell.

Unit cell a=6.7907 b=6.7907 c=7.3259 alpha=105.72 beta=105.72 gamma=50.85
With the nearest neighbours (Å) after each atom.
Fractional coordinates of all 19 atoms:
Tm (0.0000, 0.0000, 0.0000)  6 O 2.21-2.32
Tm (0.3000, 0.3000, 0.1360)  7 O 2.25-2.41
Tm (0.3089, 0.3089, 0.6777)  7 O 2.27-2.46
Tm (0.6911, 0.6911, 0.3223)  7 O 2.27-2.46
Tm (0.7000, 0.7000, 0.8640)  7 O 2.25-2.41
Ta (0.2422, 0.7578, 0.5000)  6 O 1.97-2.10
Ta (0.7578, 0.2422, 0.5000)  6 O 1.97-2.10
O (0.0022, 0.0022, 0.3033)  2 Ta 2.02, 1 Tm 2.21
O (0.0968, 0.5955, 0.9275)  4 Tm 2.25-2.32
O (0.0988, 0.5662, 0.4121)  1 Ta 1.97
O (0.4045, 0.9032, 0.0725)  4 Tm 2.25-2.32
O (0.4338, 0.9012, 0.5879)  1 Ta 1.97
O (0.4984, 0.4984, 0.6986)  2 Ta 2.10, 1 Tm 2.28
O (0.5016, 0.5016, 0.3014)  2 Ta 2.10, 1 Tm 2.28
O (0.5662, 0.0988, 0.4121)  1 Ta 1.97
O (0.5955, 0.0968, 0.9275)  4 Tm 2.25-2.32
O (0.9012, 0.4338, 0.5879)  1 Ta 1.97
O (0.9032, 0.4045, 0.0725)  4 Tm 2.25-2.32
O (0.9978, 0.9978, 0.6967)  2 Ta 2.02, 1 Tm 2.21

Record 3
A relaxed Tm3TaO7 crystal. Source: Alexandria, functional PBE.

Output
As for the energy above the most stable polymorph in this dataset: 16.6 meV/atom. For the total energy, the calculation gives -391.2 eV per cell. As for the symmetry: Pnma. The formation energy (no corrections) comes out at -3.439 eV/atom. The density of states at the Fermi level is 0.00 states/eV/cell. The value obtained for the volume is 575.9 Å³/cell.

Unit cell a=7.3494 b=10.4429 c=7.5032 alpha=90.00 beta=90.00 gamma=90.00
With the nearest neighbours (Å) after each atom.
Fractional coordinates of all 44 atoms:
Tm (0.0176, 0.2500, 0.2013)  6 O 2.26-2.37
Tm (0.2482, 0.0207, 0.5315)  6 O 2.21-2.40
Tm (0.2482, 0.4793, 0.5315)  6 O 2.21-2.40
Tm (0.2518, 0.5207, 0.0315)  6 O 2.21-2.40
Tm (0.2518, 0.9793, 0.0315)  6 O 2.21-2.40
Tm (0.4824, 0.7500, 0.7013)  6 O 2.26-2.37
Tm (0.5176, 0.2500, 0.2987)  6 O 2.26-2.37
Tm (0.7482, 0.0207, 0.9685)  6 O 2.21-2.40
Tm (0.7482, 0.4793, 0.9685)  6 O 2.21-2.40
Tm (0.7518, 0.5207, 0.4685)  6 O 2.21-2.40
Tm (0.7518, 0.9793, 0.4685)  6 O 2.21-2.40
Tm (0.9824, 0.7500, 0.7987)  6 O 2.26-2.37
Ta (0.0027, 0.2500, 0.7502)  6 O 1.93-2.05
Ta (0.4973, 0.7500, 0.2502)  6 O 1.93-2.05
Ta (0.5027, 0.2500, 0.7498)  6 O 1.93-2.05
Ta (0.9973, 0.7500, 0.2498)  6 O 1.93-2.05
O (0.0393, 0.1241, 0.9566)  1 Ta 2.05, 2 Tm 2.25-2.26
O (0.0393, 0.3759, 0.9566)  1 Ta 2.05, 2 Tm 2.25-2.26
O (0.0425, 0.6082, 0.4094)  1 Ta 1.93
O (0.0425, 0.8918, 0.4094)  1 Ta 1.93
O (0.2409, 0.6158, 0.7678)  4 Tm 2.21-2.37
O (0.2409, 0.8842, 0.7678)  4 Tm 2.21-2.37
O (0.2489, 0.2500, 0.6569)  2 Ta 1.94-1.99
O (0.2511, 0.7500, 0.1569)  2 Ta 1.94-1.99
O (0.2591, 0.1158, 0.2678)  4 Tm 2.21-2.37
O (0.2591, 0.3842, 0.2678)  4 Tm 2.21-2.37
O (0.4575, 0.1082, 0.9094)  1 Ta 1.93
O (0.4575, 0.3918, 0.9094)  1 Ta 1.93
O (0.4607, 0.6241, 0.4566)  1 Ta 2.05, 2 Tm 2.25-2.26
O (0.4607, 0.8759, 0.4566)  1 Ta 2.05, 2 Tm 2.25-2.26
O (0.5393, 0.1241, 0.5434)  1 Ta 2.05, 2 Tm 2.25-2.26
O (0.5393, 0.3759, 0.5434)  1 Ta 2.05, 2 Tm 2.25-2.26
O (0.5425, 0.6082, 0.0906)  1 Ta 1.93
O (0.5425, 0.8918, 0.0906)  1 Ta 1.93
O (0.7409, 0.6158, 0.7322)  4 Tm 2.21-2.37
O (0.7409, 0.8842, 0.7322)  4 Tm 2.21-2.37
O (0.7489, 0.2500, 0.8431)  2 Ta 1.94-1.99
O (0.7511, 0.7500, 0.3431)  2 Ta 1.94-1.99
O (0.7591, 0.1158, 0.2322)  4 Tm 2.21-2.37
O (0.7591, 0.3842, 0.2322)  4 Tm 2.21-2.37
O (0.9575, 0.1082, 0.5906)  1 Ta 1.93
O (0.9575, 0.3918, 0.5906)  1 Ta 1.93
O (0.9607, 0.6241, 0.0434)  1 Ta 2.05, 2 Tm 2.25-2.26
O (0.9607, 0.8759, 0.0434)  1 Ta 2.05, 2 Tm 2.25-2.26

Record 4
A relaxed Tm3TaO7 crystal. Source: Alexandria, functional PBE.

Output
As for the energy above the most stable polymorph in this dataset: 0.0 meV/atom. For the total energy, the calculation gives -196.0 eV per cell. As for the symmetry: C222_1. The formation energy (no corrections) comes out at -3.456 eV/atom. The density of states at the Fermi level is 0.00 states/eV/cell. The value obtained for the volume is 288.7 Å³/cell.

Unit cell a=6.4242 b=6.4242 c=7.3747 alpha=90.00 beta=90.00 gamma=108.48
With the nearest neighbours (Å) after each atom.
Fractional coordinates of all 22 atoms:
Tm (0.0352, 0.5007, 0.2596)  7 O 2.19-2.41
Tm (0.0399, 0.0399, 0.0000)  6 O 2.30-2.37
Tm (0.4993, 0.9648, 0.2404)  7 O 2.19-2.41
Tm (0.5007, 0.0352, 0.7404)  7 O 2.19-2.41
Tm (0.9601, 0.9601, 0.5000)  6 O 2.30-2.37
Tm (0.9648, 0.4993, 0.7596)  7 O 2.19-2.41
Ta (0.4978, 0.4978, 0.5000)  6 O 1.93-2.05
Ta (0.5022, 0.5022, 0.0000)  6 O 1.93-2.05
O (0.1288, 0.8712, 0.7500)  4 Tm 2.29-2.30
O (0.1406, 0.8594, 0.2500)  4 Tm 2.19-2.37
O (0.1681, 0.4153, 0.9758)  1 Ta 2.05, 1 Tm 2.23
O (0.1913, 0.4521, 0.5477)  1 Ta 1.93
O (0.4153, 0.1681, 0.0242)  1 Ta 2.05, 1 Tm 2.23
O (0.4273, 0.5727, 0.2500)  2 Ta 1.99
O (0.4521, 0.1913, 0.4523)  1 Ta 1.93
O (0.5479, 0.8087, 0.9523)  1 Ta 1.93
O (0.5727, 0.4273, 0.7500)  2 Ta 1.99
O (0.5847, 0.8319, 0.5242)  1 Ta 2.05, 1 Tm 2.23
O (0.8087, 0.5479, 0.0477)  1 Ta 1.93
O (0.8319, 0.5847, 0.4758)  1 Ta 2.05, 1 Tm 2.23
O (0.8594, 0.1406, 0.7500)  4 Tm 2.19-2.37
O (0.8712, 0.1288, 0.2500)  4 Tm 2.29-2.30

Record 5
A relaxed Tm3TaO7 crystal. Source: Alexandria, functional PBE.

Output
As for the energy above the most stable polymorph in this dataset: 33.7 meV/atom. For the total energy, the calculation gives -195.2 eV per cell. As for the symmetry: Cmcm. The formation energy (no corrections) comes out at -3.422 eV/atom. The density of states at the Fermi level is 0.00 states/eV/cell. The value obtained for the volume is 283.4 Å³/cell.

Unit cell a=6.3772 b=6.3772 c=7.4294 alpha=90.00 beta=90.00 gamma=69.70
With the nearest neighbours (Å) after each atom.
Fractional coordinates of all 22 atoms:
Tm (0.0000, 0.0000, 0.0000)  4 O 2.33
Tm (0.0000, 0.0000, 0.5000)  4 O 2.33
Tm (0.0536, 0.4851, 0.7500)  6 O 2.18-2.38
Tm (0.4851, 0.0536, 0.2500)  6 O 2.18-2.38
Tm (0.5149, 0.9464, 0.7500)  6 O 2.18-2.38
Tm (0.9464, 0.5149, 0.2500)  6 O 2.18-2.38
Ta (0.5000, 0.5000, 0.0000)  6 O 1.96-1.99
Ta (0.5000, 0.5000, 0.5000)  6 O 1.96-1.99
O (0.1127, 0.1535, 0.2500)  4 Tm 2.18-2.33
O (0.1535, 0.1127, 0.7500)  4 Tm 2.18-2.33
O (0.1746, 0.5644, 0.0364)  1 Ta 1.99
O (0.1746, 0.5644, 0.4636)  1 Ta 1.99
O (0.4156, 0.5844, 0.7500)  2 Ta 1.96
O (0.4356, 0.8254, 0.0364)  1 Ta 1.99
O (0.4356, 0.8254, 0.4636)  1 Ta 1.99
O (0.5644, 0.1746, 0.5364)  1 Ta 1.99
O (0.5644, 0.1746, 0.9636)  1 Ta 1.99
O (0.5844, 0.4156, 0.2500)  2 Ta 1.96
O (0.8254, 0.4356, 0.5364)  1 Ta 1.99
O (0.8254, 0.4356, 0.9636)  1 Ta 1.99
O (0.8465, 0.8873, 0.2500)  4 Tm 2.18-2.33
O (0.8873, 0.8465, 0.7500)  4 Tm 2.18-2.33

Record 6
A relaxed Tm4Ta6O19 crystal. Source: Alexandria, functional PBE.

Output
For the total energy, the calculation gives -269.3 eV per cell. As for the symmetry: I23. The formation energy (no corrections) comes out at -2.970 eV/atom. The density of states at the Fermi level is 9.15 states/eV/cell. The value obtained for the volume is 369.8 Å³/cell.

Unit cell a=7.8317 b=7.8317 c=7.8317 alpha=109.47 beta=109.47 gamma=109.47
With the nearest neighbours (Å) after each atom.
Fractional coordinates of all 29 atoms:
Tm (0.0000, 0.0000, 0.2852)  7 O 2.23-2.47
Tm (0.0000, 0.2852, 0.0000)  7 O 2.23-2.47
Tm (0.2852, 0.0000, 0.0000)  7 O 2.23-2.47
Tm (0.7148, 0.7148, 0.7148)  7 O 2.23-2.47
Ta (0.1549, 0.5000, 0.6549)  6 O 1.99-2.10
Ta (0.3451, 0.8451, 0.5000)  6 O 1.99-2.10
Ta (0.5000, 0.3451, 0.8451)  6 O 1.99-2.10
Ta (0.5000, 0.6549, 0.1549)  6 O 1.99-2.10
Ta (0.6549, 0.1549, 0.5000)  6 O 1.99-2.10
Ta (0.8451, 0.5000, 0.3451)  6 O 1.99-2.10
O (0.0000, 0.0000, 0.0000)  4 Tm 2.23
O (0.0000, 0.3269, 0.3269)  2 Ta 2.10
O (0.0000, 0.6731, 0.6731)  2 Ta 2.10
O (0.0324, 0.7605, 0.3654)  2 Ta 1.99-2.07, 1 Tm 2.23
O (0.2395, 0.2719, 0.6050)  2 Ta 1.99-2.07, 1 Tm 2.23
O (0.2719, 0.6050, 0.2395)  2 Ta 1.99-2.07, 1 Tm 2.23
O (0.3269, 0.0000, 0.3269)  2 Ta 2.10
O (0.3269, 0.3269, 0.0000)  2 Ta 2.10
O (0.3331, 0.7281, 0.9676)  2 Ta 1.99-2.07, 1 Tm 2.23
O (0.3654, 0.0324, 0.7605)  2 Ta 1.99-2.07, 1 Tm 2.23
O (0.3950, 0.6669, 0.6346)  2 Ta 1.99-2.07, 1 Tm 2.23
O (0.6050, 0.2395, 0.2719)  2 Ta 1.99-2.07, 1 Tm 2.23
O (0.6346, 0.3950, 0.6669)  2 Ta 1.99-2.07, 1 Tm 2.23
O (0.6669, 0.6346, 0.3950)  2 Ta 1.99-2.07, 1 Tm 2.23
O (0.6731, 0.0000, 0.6731)  2 Ta 2.10
O (0.6731, 0.6731, 0.0000)  2 Ta 2.10
O (0.7281, 0.9676, 0.3331)  2 Ta 1.99-2.07, 1 Tm 2.23
O (0.7605, 0.3654, 0.0324)  2 Ta 1.99-2.07, 1 Tm 2.23
O (0.9676, 0.3331, 0.7281)  2 Ta 1.99-2.07, 1 Tm 2.23

Record 7
A relaxed UTa4O12 crystal. Source: Alexandria, functional PBE.

Output
For the total energy, the calculation gives -166.9 eV per cell. As for the symmetry: I4/mmm. The formation energy (no corrections) comes out at -2.864 eV/atom. The density of states at the Fermi level is 7.49 states/eV/cell. The value obtained for the volume is 238.4 Å³/cell.

Unit cell a=6.7667 b=6.7667 c=6.7667 alpha=108.78 beta=108.78 gamma=110.86
With the nearest neighbours (Å) after each atom.
Fractional coordinates of all 17 atoms:
U (0.0000, 0.0000, 0.0000)  8 O 2.41
Ta (0.0000, 0.0000, 0.5000)  6 O 1.96-2.01
Ta (0.0000, 0.5000, 0.0000)  6 O 1.96-2.01
Ta (0.5000, 0.0000, 0.0000)  6 O 1.96-2.01
Ta (0.5000, 0.5000, 0.5000)  6 O 1.96-2.01
O (0.0428, 0.8039, 0.2389)  2 Ta 2.01
O (0.1961, 0.4350, 0.2389)  2 Ta 2.01
O (0.1961, 0.9572, 0.7611)  2 Ta 2.01
O (0.2843, 0.2843, 0.5686)  2 Ta 1.96
O (0.2843, 0.7157, 0.0000)  2 Ta 1.96
O (0.4350, 0.1961, 0.2389)  2 Ta 2.01
O (0.5650, 0.8039, 0.7611)  2 Ta 2.01
O (0.7157, 0.2843, 0.0000)  2 Ta 1.96
O (0.7157, 0.7157, 0.4314)  2 Ta 1.96
O (0.8039, 0.0428, 0.2389)  2 Ta 2.01
O (0.8039, 0.5650, 0.7611)  2 Ta 2.01
O (0.9572, 0.1961, 0.7611)  2 Ta 2.01

Record 8
A relaxed UTa2O7 crystal. Source: Alexandria, functional PBE.

Output
For the total energy, the calculation gives -197.7 eV per cell. As for the symmetry: Imma. The formation energy (no corrections) comes out at -2.916 eV/atom. The density of states at the Fermi level is 6.43 states/eV/cell. The value obtained for the volume is 291.0 Å³/cell.

Unit cell a=7.4428 b=7.4428 c=7.4428 alpha=120.67 beta=119.54 gamma=89.82
With the nearest neighbours (Å) after each atom.
Fractional coordinates of all 20 atoms:
U (0.0000, 0.0000, 0.0000)  2 O 2.08
U (0.5000, 0.0000, 0.5000)  2 O 2.08
Ta (0.0000, 0.5000, 0.5000)  6 O 1.96-2.02
Ta (0.5000, 0.0000, 0.0000)  6 O 1.98-1.99
Ta (0.5000, 0.5000, 0.0000)  6 O 1.96-2.02
Ta (0.5000, 0.5000, 0.5000)  6 O 1.98-1.99
O (0.1647, 0.9147, 0.2500)  2 U 2.08
O (0.1829, 0.4156, 0.3592)  2 Ta 1.99-2.02
O (0.1829, 0.8236, 0.7673)  2 Ta 1.99-2.02
O (0.1958, 0.4458, 0.7500)  2 Ta 1.96
O (0.4300, 0.1800, 0.2500)  2 Ta 1.98
O (0.4436, 0.1764, 0.8592)  2 Ta 1.99-2.02
O (0.4436, 0.5844, 0.2673)  2 Ta 1.99-2.02
O (0.5564, 0.4156, 0.7327)  2 Ta 1.99-2.02
O (0.5564, 0.8236, 0.1408)  2 Ta 1.99-2.02
O (0.5700, 0.8200, 0.7500)  2 Ta 1.98
O (0.8042, 0.5542, 0.2500)  2 Ta 1.96
O (0.8171, 0.1764, 0.2327)  2 Ta 1.99-2.02
O (0.8171, 0.5844, 0.6408)  2 Ta 1.99-2.02
O (0.8353, 0.0853, 0.7500)  2 U 2.08

Record 9
A relaxed UTa2O8 crystal. Source: Alexandria, functional PBE.

Output
For the total energy, the calculation gives -106.2 eV per cell. As for the symmetry: C2/m. The formation energy (no corrections) comes out at -2.870 eV/atom. The density of states at the Fermi level is 0.00 states/eV/cell. The value obtained for the volume is 137.9 Å³/cell.

Unit cell a=5.3438 b=5.3438 c=5.2089 alpha=99.93 beta=99.93 gamma=71.62
With the nearest neighbours (Å) after each atom.
Fractional coordinates of all 11 atoms:
U (0.0000, 0.0000, 0.0000)  2 O 1.88
Ta (0.3283, 0.3283, 0.5396)  6 O 1.92-2.13
Ta (0.6717, 0.6717, 0.4604)  6 O 1.92-2.13
O (0.0448, 0.6420, 0.6962)  2 Ta 2.03-2.13, 1 U 2.24
O (0.1519, 0.1519, 0.7912)  1 U 1.88
O (0.3580, 0.9552, 0.3038)  2 Ta 2.03-2.13, 1 U 2.24
O (0.4421, 0.4421, 0.2618)  2 Ta 1.92-2.04
O (0.5579, 0.5579, 0.7382)  2 Ta 1.92-2.04
O (0.6420, 0.0448, 0.6962)  2 Ta 2.03-2.13, 1 U 2.24
O (0.8481, 0.8481, 0.2088)  1 U 1.88
O (0.9552, 0.3580, 0.3038)  2 Ta 2.03-2.13, 1 U 2.24

Record 10
A relaxed UTaO6 crystal. Source: Alexandria, functional PBE.

Output
For the total energy, the calculation gives -74.1 eV per cell. As for the symmetry: Fm-3m. The formation energy (no corrections) comes out at -2.651 eV/atom. The density of states at the Fermi level is 5.88 states/eV/cell. The value obtained for the volume is 134.0 Å³/cell.

Unit cell a=5.7433 b=5.7433 c=5.7433 alpha=60.00 beta=60.00 gamma=60.00
With the nearest neighbours (Å) after each atom.
Fractional coordinates of all 8 atoms:
U (0.0000, 0.0000, 0.0000)  6 O 2.08
Ta (0.5000, 0.5000, 0.5000)  6 O 1.98
O (0.2556, 0.2556, 0.7444)  1 Ta 1.98, 1 U 2.08
O (0.2556, 0.7444, 0.2556)  1 Ta 1.98, 1 U 2.08
O (0.2556, 0.7444, 0.7444)  1 Ta 1.98, 1 U 2.08
O (0.7444, 0.2556, 0.2556)  1 Ta 1.98, 1 U 2.08
O (0.7444, 0.2556, 0.7444)  1 Ta 1.98, 1 U 2.08
O (0.7444, 0.7444, 0.2556)  1 Ta 1.98, 1 U 2.08